# 1
## Re2SiTc (PBE)

Data for an optimized crystal structure of Re2SiTc.

Cell: 2.752 2.752 8.442 Å, 90.00 90.00 115.30°
Element x y z (fractional)
Si1 0.000 0.000 0.503
Re1 0.000 0.000 0.999
Re2 0.500 0.500 0.265
Tc1 0.500 0.500 0.733

The calculation puts the density of states at the Fermi level at 2.844 states/eV/f.u. As for the symmetry: Cmm2, No. 35. The raw formation energy is 67 kJ/mol of formula units. Its volume is 57.8 Å³/cell.

***

# 2
## TmCu4Si (PBE)

Data for an optimized crystal structure of TmCu4Si.

Cell: 4.984 4.984 4.984 Å, 60.00 60.00 60.00°
Element x y z (fractional)
Cu1 0.126 0.625 0.625
Tm1 0.000 0.000 0.000
Cu2 0.625 0.625 0.625
Cu3 0.625 0.625 0.126
Si1 0.250 0.250 0.250
Cu4 0.625 0.126 0.625

The calculation puts the density of states at the Fermi level at 4.336 states/eV/f.u. As for the symmetry: F-43m, No. 216. The raw formation energy is -82 kJ/mol of formula units. Its volume is 87.6 Å³/cell.

***

# 3
## NdY3Th2P6 (PBE)

Data for an optimized crystal structure of NdY3Th2P6.

Cell: 7.090 7.090 7.044 Å, 99.63 99.63 120.05°
Element x y z (fractional)
Nd1 0.000 0.000 0.000
P1 0.086 0.422 0.257
P2 0.578 0.914 0.743
P3 0.914 0.578 0.743
Th1 0.667 0.333 0.000
Th2 0.333 0.667 0.000
Y1 0.166 0.834 0.500
P4 0.422 0.086 0.257
Y2 0.500 0.500 0.500
P5 0.250 0.250 0.743
P6 0.750 0.750 0.257
Y3 0.834 0.166 0.500

The calculation puts the density of states at the Fermi level at 2.234 states/eV/f.u. For the calculated formation energy, the calculation gives -1.61 eV per atom. As for the symmetry: C2/m, No. 12. Its volume is 288.8 Å³/cell.

***

# 4
## HfHPb3 (PBE)

Data for an optimized crystal structure of HfHPb3.

Cell: 4.833 4.833 4.833 Å, 90.00 90.00 90.00°
Element x y z (fractional)
Hf1 0.500 0.500 0.500
Pb1 0.000 0.500 0.000
Pb2 0.500 0.000 0.000
H1 0.000 0.000 0.000
Pb3 0.000 0.000 0.500

The calculation puts the density of states at the Fermi level at 3.068 states/eV/f.u. As for the symmetry: Pm-3m, No. 221. As for the distance to the lowest polymorph of the same formula: 0.0 kJ/mol of formula units. Its volume is 112.9 Å³/cell.

***

# 5
## MnCrSiW (PBE)

Data for an optimized crystal structure of MnCrSiW.

Cell: 4.136 4.136 4.136 Å, 60.00 60.00 60.00°
Last column: magnetic moment on the atom in μB.
Element x y z (fractional)
Mn1 0.500 0.500 0.500  0.27
Si1 0.750 0.750 0.750  -0.01
W1 0.250 0.250 0.250  -0.09
Cr1 0.000 0.000 0.000  0.26

The calculation puts the density of states at the Fermi level at 3.644 states/eV/f.u. As for the symmetry: F-43m, No. 216. The raw formation energy is -64 kJ/mol of formula units. Its volume is 50.0 Å³/cell.

***

# 6
## SiRhW2 (PBE)

Data for an optimized crystal structure of SiRhW2.

Cell: 4.127 2.766 5.296 Å, 78.33 90.00 90.00°
Element x y z (fractional)
Si1 0.500 0.571 0.751
Rh1 0.000 0.668 0.510
W1 0.000 0.995 0.981
W2 0.500 0.266 0.258

The calculation puts the density of states at the Fermi level at 2.501 states/eV/f.u. As for the symmetry: Pm, No. 6. The raw formation energy is -63 kJ/mol of formula units. Its volume is 59.2 Å³/cell.

***

# 7
## VRe2W2 (PBE)

Data for an optimized crystal structure of VRe2W2.

Cell: 5.156 5.156 7.936 Å, 61.82 61.82 61.60°
Element x y z (fractional)
W1 0.730 0.476 0.544
W2 0.270 0.524 0.456
V1 0.875 0.125 0.250
V2 0.125 0.875 0.750
W3 0.524 0.270 0.956
Re1 0.330 0.073 0.349
W4 0.476 0.730 0.044
Re2 0.927 0.670 0.151
Re3 0.670 0.927 0.651
Re4 0.073 0.330 0.849

The calculation puts the density of states at the Fermi level at 3.104 states/eV/f.u. For the calculated formation energy, the calculation gives 0.11 eV per atom. As for the symmetry: C2/c, No. 15. As for the distance to the lowest polymorph of the same formula: 0.0 kJ/mol of formula units. Its volume is 155.0 Å³/cell.

***

# 8
## Cs2MnSBr6 (PBE)

Data for an optimized crystal structure of Cs2MnSBr6.

Cell: 7.588 7.588 8.128 Å, 62.17 62.17 90.00°
Last column: magnetic moment on the atom in μB.
Element x y z (fractional)
Mn1 0.000 0.000 0.000  4.24
Br1 0.737 0.263 0.000  0.04
Br2 0.201 0.201 0.598  0.02
Cs1 0.750 0.250 0.500  0.00
Br3 0.263 0.263 0.000  0.03
Br4 0.799 0.799 0.402  0.02
Br5 0.737 0.737 0.000  0.03
Br6 0.263 0.737 0.000  0.04
Cs2 0.250 0.750 0.500  0.00
S1 0.500 0.500 0.000  0.13

The calculation puts the density of states at the Fermi level at 0.000 states/eV/f.u. As for the symmetry: I4/mmm, No. 139. The raw formation energy is -866 kJ/mol of formula units. Its volume is 351.5 Å³/cell.

***

# 9
## PuTl2Pb (PBE)

Data for an optimized crystal structure of PuTl2Pb.

Cell: 5.506 5.506 5.506 Å, 60.00 60.00 60.00°
Last column: magnetic moment on the atom in μB.
Element x y z (fractional)
Tl1 0.750 0.750 0.750  0.02
Pb1 0.500 0.500 0.500  -0.04
Pu1 0.000 0.000 0.000  5.62
Tl2 0.250 0.250 0.250  0.02

The calculation puts the density of states at the Fermi level at 16.320 states/eV/f.u. For the calculated formation energy, the calculation gives 0.03 eV per atom. As for the symmetry: Fm-3m, No. 225. As for the distance to the lowest polymorph of the same formula: 45.4 kJ/mol of formula units. Its volume is 118.0 Å³/cell.

***

# 10
## RbZnGaSn2 (PBE)

Data for an optimized crystal structure of RbZnGaSn2.

Cell: 4.922 4.922 6.780 Å, 111.28 111.28 90.00°
Element x y z (fractional)
Sn1 0.373 0.373 0.746
Sn2 0.627 0.627 0.254
Ga1 0.250 0.750 0.500
Zn1 0.750 0.250 0.500
Rb1 0.000 0.000 0.000

The calculation puts the density of states at the Fermi level at 1.934 states/eV/f.u. For the calculated formation energy, the calculation gives -0.12 eV per atom. As for the symmetry: I-4m2, No. 119. Its volume is 141.0 Å³/cell.

***

# 11
## TaTlOs2 (PBE)

Data for an optimized crystal structure of TaTlOs2.

Cell: 9.624 9.624 9.624 Å, 17.37 17.37 17.37°
Element x y z (fractional)
Os1 0.993 0.993 0.993
Ta1 0.506 0.506 0.506
Tl1 0.747 0.747 0.747
Os2 0.254 0.254 0.254

The calculation puts the density of states at the Fermi level at 4.026 states/eV/f.u. For the calculated formation energy, the calculation gives 0.56 eV per atom. As for the symmetry: R3m, No. 160. As for the distance to the lowest polymorph of the same formula: 106.3 kJ/mol of formula units. Its volume is 69.3 Å³/cell.

***

# 12
## La4TlCd (PBE)

Data for an optimized crystal structure of La4TlCd.

Cell: 6.556 6.556 6.556 Å, 60.00 60.00 60.00°
Element x y z (fractional)
Cd1 0.000 0.000 0.000
La1 0.872 0.376 0.376
Tl1 0.750 0.750 0.750
La2 0.376 0.376 0.872
La3 0.376 0.376 0.376
La4 0.376 0.872 0.376

The calculation puts the density of states at the Fermi level at 8.715 states/eV/f.u. For the calculated formation energy, the calculation gives 0.15 eV per atom. As for the symmetry: F-43m, No. 216. As for the distance to the lowest polymorph of the same formula: 217.2 kJ/mol of formula units. Its volume is 199.3 Å³/cell.

***

Please write out number 12 again, unchanged.
## La4TlCd (PBE)

Data for an optimized crystal structure of La4TlCd.

Cell: 6.556 6.556 6.556 Å, 60.00 60.00 60.00°
Element x y z (fractional)
Cd1 0.000 0.000 0.000
La1 0.872 0.376 0.376
Tl1 0.750 0.750 0.750
La2 0.376 0.376 0.872
La3 0.376 0.376 0.376
La4 0.376 0.872 0.376

The calculation puts the density of states at the Fermi level at 8.715 states/eV/f.u. For the calculated formation energy, the calculation gives 0.15 eV per atom. As for the symmetry: F-43m, No. 216. As for the distance to the lowest polymorph of the same formula: 217.2 kJ/mol of formula units. Its volume is 199.3 Å³/cell.